No. 1
Entry from Alexandria: MoRuAu3 at its PBEsol-relaxed geometry (meta-GGA SCAN).

Its electronic total energy is -53.966 eV/atom. The calculation puts the energy relative to the elements at 1.4701 eV/atom.

The structure in POSCAR format:
```
MoRuAu3
1.0
4.865 0.000 0.000
0.000 4.865 0.000
0.000 0.000 4.865
Mo Ru Au
1 1 3
direct
0.000 0.000 0.000 Mo
0.500 0.500 0.500 Ru
0.000 0.500 0.500 Au
0.500 0.000 0.500 Au
0.500 0.500 0.000 Au
```

No. 2
Entry from Alexandria: MoRu2Au at its PBEsol-relaxed geometry (meta-GGA SCAN).

Its electronic total energy is -43.226 eV/atom. The calculation puts the energy relative to the elements at 0.1973 eV/atom.

The structure in POSCAR format:
```
MoRu2Au
1.0
3.818 0.000 0.000
0.000 3.818 0.000
0.000 0.000 7.951
Mo Ru Au
2 4 2
direct
0.000 0.000 0.000 Mo
0.500 0.500 0.500 Mo
0.000 0.000 0.500 Ru
0.000 0.500 0.750 Ru
0.500 0.000 0.250 Ru
0.500 0.500 0.000 Ru
0.000 0.500 0.250 Au
0.500 0.000 0.750 Au
```

Which of these has the lowest energy relative to the elements?
MoRu2Au

Among the records above, which one has the highest electronic total energy?
MoRu2Au